Run 1
A plane-wave DFT calculation with GGA-PBEsol was carried out for a geometry-optimized TiCo3O8 structure.

Properties
crystal system: trigonal

Geometry as CIF:
```
data_TiCo3O8
_cell_length_a 5.661
_cell_length_b 5.661
_cell_length_c 5.661
_cell_angle_alpha 59.88
_cell_angle_beta 59.88
_cell_angle_gamma 59.88
_symmetry_space_group_name_H-M 'P 1'
_symmetry_Int_Tables_number 1
_symmetry_space_group_name_Hall 'P 1'
loop_
_atom_site_label
_atom_site_type_symbol
_atom_site_fract_x
_atom_site_fract_y
_atom_site_fract_z
Ti1 Ti 0.000 0.000 0.000
Co1 Co 0.481 0.481 0.978
Co2 Co 0.481 0.978 0.481
Co3 Co 0.978 0.481 0.481
O1 O 0.230 0.230 0.700
O2 O 0.230 0.700 0.230
O3 O 0.249 0.249 0.249
O4 O 0.256 0.745 0.745
O5 O 0.700 0.230 0.230
O6 O 0.714 0.714 0.714
O7 O 0.745 0.256 0.745
O8 O 0.745 0.745 0.256
```

***

Run 2
A plane-wave DFT calculation with GGA-PBEsol was carried out for a geometry-optimized TiCo3O8 structure.

Properties
crystal system: hexagonal

Geometry as CIF:
```
data_TiCo3O8
_cell_length_a 5.557
_cell_length_b 5.557
_cell_length_c 8.838
_cell_angle_alpha 90.00
_cell_angle_beta 90.00
_cell_angle_gamma 120.00
_symmetry_space_group_name_H-M 'P 1'
_symmetry_Int_Tables_number 1
_symmetry_space_group_name_Hall 'P 1'
loop_
_atom_site_label
_atom_site_type_symbol
_atom_site_fract_x
_atom_site_fract_y
_atom_site_fract_z
Ti1 Ti 0.333 0.667 0.000
Ti2 Ti 0.667 0.333 0.500
Co1 Co 0.168 0.336 0.281
Co2 Co 0.168 0.832 0.281
Co3 Co 0.336 0.168 0.781
Co4 Co 0.664 0.832 0.281
Co5 Co 0.832 0.168 0.781
Co6 Co 0.832 0.664 0.781
O1 O 0.000 0.000 0.182
O2 O 0.000 0.000 0.682
O3 O 0.036 0.518 0.164
O4 O 0.163 0.326 0.893
O5 O 0.163 0.837 0.893
O6 O 0.326 0.163 0.393
O7 O 0.333 0.667 0.388
O8 O 0.482 0.518 0.164
O9 O 0.482 0.964 0.164
O10 O 0.518 0.036 0.664
O11 O 0.518 0.482 0.664
O12 O 0.667 0.333 0.888
O13 O 0.674 0.837 0.893
O14 O 0.837 0.163 0.393
O15 O 0.837 0.674 0.393
O16 O 0.964 0.482 0.664
```

***

Energy ordering: run 2 at the bottom, the next structure 0.056 eV/atom above.

***

Run 1
A plane-wave DFT calculation with GGA-PBEsol was carried out for a geometry-optimized Zn2Co3O8 structure.

Properties
crystal system: monoclinic

Geometry as CIF:
```
data_Zn2Co3O8
_cell_length_a 5.543
_cell_length_b 5.543
_cell_length_c 4.828
_cell_angle_alpha 101.03
_cell_angle_beta 101.03
_cell_angle_gamma 60.54
_symmetry_space_group_name_H-M 'P 1'
_symmetry_Int_Tables_number 1
_symmetry_space_group_name_Hall 'P 1'
loop_
_atom_site_label
_atom_site_type_symbol
_atom_site_fract_x
_atom_site_fract_y
_atom_site_fract_z
Zn1 Zn 0.209 0.209 0.106
Zn2 Zn 0.791 0.791 0.894
Co1 Co 0.246 0.754 0.500
Co2 Co 0.500 0.500 0.000
Co3 Co 0.754 0.246 0.500
O1 O 0.105 0.105 0.407
O2 O 0.161 0.612 0.133
O3 O 0.388 0.839 0.867
O4 O 0.401 0.401 0.625
O5 O 0.599 0.599 0.375
O6 O 0.612 0.161 0.133
O7 O 0.839 0.388 0.867
O8 O 0.895 0.895 0.593
```

***

Run 2
A plane-wave DFT calculation with GGA-PBEsol was carried out for a geometry-optimized Zn2Co3O8 structure.

Properties
crystal system: hexagonal

Geometry as CIF:
```
data_Zn2Co3O8
_cell_length_a 5.645
_cell_length_b 5.645
_cell_length_c 9.143
_cell_angle_alpha 90.00
_cell_angle_beta 90.00
_cell_angle_gamma 120.00
_symmetry_space_group_name_H-M 'P 1'
_symmetry_Int_Tables_number 1
_symmetry_space_group_name_Hall 'P 1'
loop_
_atom_site_label
_atom_site_type_symbol
_atom_site_fract_x
_atom_site_fract_y
_atom_site_fract_z
Zn1 Zn 0.333 0.667 0.000
Zn2 Zn 0.333 0.667 0.394
Zn3 Zn 0.667 0.333 0.500
Zn4 Zn 0.667 0.333 0.894
Co1 Co 0.164 0.328 0.680
Co2 Co 0.164 0.836 0.680
Co3 Co 0.328 0.164 0.180
Co4 Co 0.672 0.836 0.680
Co5 Co 0.836 0.164 0.180
Co6 Co 0.836 0.672 0.180
O1 O 0.000 0.000 0.076
O2 O 0.000 0.000 0.576
O3 O 0.038 0.519 0.564
O4 O 0.157 0.315 0.279
O5 O 0.157 0.843 0.279
O6 O 0.315 0.157 0.779
O7 O 0.333 0.667 0.785
O8 O 0.481 0.519 0.564
O9 O 0.481 0.962 0.564
O10 O 0.519 0.038 0.064
O11 O 0.519 0.481 0.064
O12 O 0.667 0.333 0.285
O13 O 0.685 0.843 0.279
O14 O 0.843 0.157 0.779
O15 O 0.843 0.685 0.779
O16 O 0.962 0.481 0.064
```

***

Energy ordering: run 2 at the bottom, the next structure 0.008 eV/atom above.

***

Run 1
A plane-wave DFT calculation with GGA-PBEsol was carried out for a geometry-optimized Co5Os structure.

Properties
crystal system: orthorhombic

Geometry as CIF:
```
data_Co5Os
_cell_length_a 3.999
_cell_length_b 6.603
_cell_length_c 6.603
_cell_angle_alpha 22.07
_cell_angle_beta 90.00
_cell_angle_gamma 90.00
_symmetry_space_group_name_H-M 'P 1'
_symmetry_Int_Tables_number 1
_symmetry_space_group_name_Hall 'P 1'
loop_
_atom_site_label
_atom_site_type_symbol
_atom_site_fract_x
_atom_site_fract_y
_atom_site_fract_z
Co1 Co 0.000 0.000 0.000
Co2 Co 0.000 0.326 0.326
Co3 Co 0.000 0.663 0.663
Co4 Co 0.500 0.112 0.112
Co5 Co 0.500 0.772 0.772
Os1 Os 0.500 0.441 0.441
```

***

Run 2
A plane-wave DFT calculation with GGA-PBEsol was carried out for a geometry-optimized Co5Os structure.

Properties
crystal system: monoclinic

Geometry as CIF:
```
data_Co5Os
_cell_length_a 4.708
_cell_length_b 4.708
_cell_length_c 5.881
_cell_angle_alpha 103.91
_cell_angle_beta 103.91
_cell_angle_gamma 31.22
_symmetry_space_group_name_H-M 'P 1'
_symmetry_Int_Tables_number 1
_symmetry_space_group_name_Hall 'P 1'
loop_
_atom_site_label
_atom_site_type_symbol
_atom_site_fract_x
_atom_site_fract_y
_atom_site_fract_z
Co1 Co 0.000 0.000 0.000
Co2 Co 0.054 0.054 0.600
Co3 Co 0.336 0.336 0.658
Co4 Co 0.393 0.393 0.279
Co5 Co 0.670 0.670 0.334
Os1 Os 0.722 0.722 0.940
```

***

Energy ordering: run 1 at the bottom, the next structure 0.009 eV/atom above.

***

Run 1
A plane-wave DFT calculation with GGA-PBEsol was carried out for a geometry-optimized Co2Os structure.

Properties
crystal system: orthorhombic

Geometry as CIF:
```
data_Co2Os
_cell_length_a 5.634
_cell_length_b 5.634
_cell_length_c 3.563
_cell_angle_alpha 90.00
_cell_angle_beta 90.00
_cell_angle_gamma 143.08
_symmetry_space_group_name_H-M 'P 1'
_symmetry_Int_Tables_number 1
_symmetry_space_group_name_Hall 'P 1'
loop_
_atom_site_label
_atom_site_type_symbol
_atom_site_fract_x
_atom_site_fract_y
_atom_site_fract_z
Co1 Co 0.079 0.921 0.750
Co2 Co 0.247 0.753 0.250
Co3 Co 0.753 0.247 0.750
Co4 Co 0.921 0.079 0.250
Os1 Os 0.412 0.588 0.750
Os2 Os 0.588 0.412 0.250
```

***

Run 2
A plane-wave DFT calculation with GGA-PBEsol was carried out for a geometry-optimized Co2Os structure.

Properties
crystal system: tetragonal

Geometry as CIF:
```
data_Co2Os
_cell_length_a 4.651
_cell_length_b 4.651
_cell_length_c 4.651
_cell_angle_alpha 105.72
_cell_angle_beta 105.72
_cell_angle_gamma 117.27
_symmetry_space_group_name_H-M 'P 1'
_symmetry_Int_Tables_number 1
_symmetry_space_group_name_Hall 'P 1'
loop_
_atom_site_label
_atom_site_type_symbol
_atom_site_fract_x
_atom_site_fract_y
_atom_site_fract_z
Co1 Co 0.136 0.636 0.772
Co2 Co 0.364 0.136 0.500
Co3 Co 0.636 0.864 0.500
Co4 Co 0.864 0.364 0.228
Os1 Os 0.250 0.250 0.000
Os2 Os 0.750 0.750 0.000
```

***

Energy ordering: run 1 at the bottom, the next structure 0.486 eV/atom above.

***

Run 1
A plane-wave DFT calculation with GGA-PBEsol was carried out for a geometry-optimized CoOsPb2 structure.

Properties
crystal system: tetragonal

Geometry as CIF:
```
data_CoOsPb2
_cell_length_a 3.076
_cell_length_b 3.076
_cell_length_c 8.362
_cell_angle_alpha 90.00
_cell_angle_beta 90.00
_cell_angle_gamma 90.00
_symmetry_space_group_name_H-M 'P 1'
_symmetry_Int_Tables_number 1
_symmetry_space_group_name_Hall 'P 1'
loop_
_atom_site_label
_atom_site_type_symbol
_atom_site_fract_x
_atom_site_fract_y
_atom_site_fract_z
Co1 Co 0.000 0.000 0.000
Os1 Os 0.500 0.500 0.141
Pb1 Pb 0.000 0.000 0.389
Pb2 Pb 0.500 0.500 0.775
```

***

Run 2
A plane-wave DFT calculation with GGA-PBEsol was carried out for a geometry-optimized CoOsPb2 structure.

Properties
crystal system: tetragonal

Geometry as CIF:
```
data_CoOsPb2
_cell_length_a 5.496
_cell_length_b 5.496
_cell_length_c 5.496
_cell_angle_alpha 138.60
_cell_angle_beta 138.60
_cell_angle_gamma 59.99
_symmetry_space_group_name_H-M 'P 1'
_symmetry_Int_Tables_number 1
_symmetry_space_group_name_Hall 'P 1'
loop_
_atom_site_label
_atom_site_type_symbol
_atom_site_fract_x
_atom_site_fract_y
_atom_site_fract_z
Co1 Co 0.000 0.000 0.000
Os1 Os 0.750 0.250 0.500
Pb1 Pb 0.250 0.750 0.500
Pb2 Pb 0.500 0.500 0.000
```

***

Energy ordering: run 1 at the bottom, the next structure 0.485 eV/atom above.

***

Run 1
A plane-wave DFT calculation with GGA-PBEsol was carried out for a geometry-optimized CoOsPt2 structure.

Properties
crystal system: tetragonal

Geometry as CIF:
```
data_CoOsPt2
_cell_length_a 2.682
_cell_length_b 2.682
_cell_length_c 7.522
_cell_angle_alpha 90.00
_cell_angle_beta 90.00
_cell_angle_gamma 90.00
_symmetry_space_group_name_H-M 'P 1'
_symmetry_Int_Tables_number 1
_symmetry_space_group_name_Hall 'P 1'
loop_
_atom_site_label
_atom_site_type_symbol
_atom_site_fract_x
_atom_site_fract_y
_atom_site_fract_z
Co1 Co 0.000 0.000 0.000
Os1 Os 0.500 0.500 0.216
Pt1 Pt 0.000 0.000 0.478
Pt2 Pt 0.500 0.500 0.757
```

***

Run 2
A plane-wave DFT calculation with GGA-PBEsol was carried out for a geometry-optimized CoOsPt2 structure.

Properties
crystal system: tetragonal

Geometry as CIF:
```
data_CoOsPt2
_cell_length_a 3.763
_cell_length_b 3.763
_cell_length_c 3.839
_cell_angle_alpha 90.00
_cell_angle_beta 90.00
_cell_angle_gamma 90.00
_symmetry_space_group_name_H-M 'P 1'
_symmetry_Int_Tables_number 1
_symmetry_space_group_name_Hall 'P 1'
loop_
_atom_site_label
_atom_site_type_symbol
_atom_site_fract_x
_atom_site_fract_y
_atom_site_fract_z
Co1 Co 0.000 0.000 0.000
Os1 Os 0.500 0.500 0.000
Pt1 Pt 0.000 0.500 0.500
Pt2 Pt 0.500 0.000 0.500
```

***

Energy ordering: run 1 at the bottom, the next structure 0.139 eV/atom above.